# 1
Pr8Pt3RhCl4 after structural relaxation, computed with PBE.

Results
For the final energy, the calculation gives -5.735 eV per atom. As for the energy relative to the elements, uncorrected: -124.64 kJ/mol of atoms. As for the space-group type: R-3m, No. 166. As for the magnetic moment: 0.000 μB/f.u.

Cell: 8.4210 8.9561 8.4197 Å, 118.05 120.01 90.00°
With the nearest neighbours (Å) after each atom.
Atoms (fractional coordinates):
Pr  0.7665  0.2926  0.0259  1 Rh 2.86, 2 Pt 2.90
Rh  0.0000  0.5000  0.0000  6 Pr 2.86
Pr  0.7360  0.7078  0.4720  3 Pt 2.89
Pr  0.2594  0.2926  0.0259  1 Rh 2.86, 2 Pt 2.90
Pr  0.7665  0.2926  0.5330  1 Rh 2.86, 2 Pt 2.90
Pt  0.0000  0.5000  0.5000  6 Pr 2.89-2.90
Cl  0.0000  0.0000  0.0000  6 Pr 3.27-3.28
Cl  0.5000  0.0000  0.0000  6 Pr 3.30-3.31
Pr  0.7406  0.7074  0.9741  1 Rh 2.86, 2 Pt 2.90
Cl  0.5000  0.0000  0.5000  6 Pr 3.26-3.28
Pr  0.2640  0.2922  0.5280  3 Pt 2.89
Pr  0.2335  0.7074  0.9741  1 Rh 2.86, 2 Pt 2.90
Pt  0.5000  0.5000  0.5000  6 Pr 2.89-2.90
Pr  0.2335  0.7074  0.4670  1 Rh 2.86, 2 Pt 2.90
Cl  0.0000  0.0000  0.5000  6 Pr 3.26-3.28
Pt  0.5000  0.5000  0.0000  6 Pr 2.89-2.90

# 2
CaYGeN2 after structural relaxation, computed with PBE.

Results
For the final energy, the calculation gives -4.717 eV per atom. As for the energy relative to the elements, uncorrected: 118.61 kJ/mol of atoms. As for the space-group type: P4/mmm, No. 123. As for the magnetic moment: 0.001 μB/f.u.

Cell: 4.3243 5.0823 4.3243 Å, 90.00 90.00 90.00°
With the nearest neighbours (Å) after each atom.
Atoms (fractional coordinates):
Ca  0.5000  0.5000  0.5000  4 Y 3.06, 8 N 3.34
Ge  0.0000  0.0000  0.0000  4 N 2.16
Y  0.0000  0.5000  0.0000  2 Ge 2.54
N  0.0000  0.0000  0.5000  2 Ge 2.16
N  0.5000  0.0000  0.0000  2 Ge 2.16